A plane-wave DFT calculation with PBEsol was carried out for a relaxed K2SiMo crystal.

Unit cell a=7.3457 b=7.3457 c=7.3457 alpha=90.00 beta=90.00 gamma=90.00
Closest atoms and distances in Å follow each position.
Space group F-43m (No. 216)
Inequivalent atoms, fractional coordinates:
K  0.0000  0.0000  0.0000  4 K 3.18, 4 Mo 3.18
K  0.2500  0.2500  0.2500  4 K 3.18, 4 Si 3.18
Si  0.0000  0.0000  0.5000  4 Mo 3.18, 4 K 3.18
Mo  0.2500  0.2500  0.7500  4 K 3.18, 4 Si 3.18

Summary:
total magnetization: 1.003 μB/atom
mass density: 3.39 g/cm³
uncorrected formation energy: 116.2 kJ per mole of atoms
DOS(E_F): 9.2 states/eV per cell
calculated volume: 396.4 Å³/cell
uncorrected energy: -59.86 eV for the cell shown